Arrangement a

This record from Alexandria describes a relaxed TaReAu crystal. The functional is PBE.

Structure (CIF):
```
data_TaReAu
_chemical_formula_sum 'Ta1 Re1 Au1'
_space_group_name_H-M_alt 'P 1'
_space_group_IT_number 1
_cell_length_a 4.6369
_cell_length_b 4.6369
_cell_length_c 2.7150
_cell_angle_alpha 90.00
_cell_angle_beta 90.00
_cell_angle_gamma 120.00
loop_
_space_group_symop_operation_xyz
'x,y,z'
loop_
_atom_site_label
_atom_site_fract_x
_atom_site_fract_y
_atom_site_fract_z
_atom_site_occupancy
Au1 0.0000 0.0000 0.9599 1
Ta1 0.3333 0.6667 0.6747 1
Re1 0.6667 0.3333 0.3653 1
```

***

Arrangement b

This record from Alexandria describes a relaxed TaReAu crystal. The functional is PBE.

Structure (CIF):
```
data_TaReAu
_chemical_formula_sum 'Ta1 Re1 Au1'
_space_group_name_H-M_alt 'P 1'
_space_group_IT_number 1
_cell_length_a 5.2105
_cell_length_b 5.2105
_cell_length_c 5.2105
_cell_angle_alpha 142.74
_cell_angle_beta 142.74
_cell_angle_gamma 53.71
loop_
_space_group_symop_operation_xyz
'x,y,z'
loop_
_atom_site_label
_atom_site_fract_x
_atom_site_fract_y
_atom_site_fract_z
_atom_site_occupancy
Au1 0.9984 0.9984 0.0000 1
Re1 0.6815 0.6815 0.0000 1
Ta1 0.3202 0.3202 0.0000 1
```

***

Relative energy of each structure, in eV/atom: arrangement a 0.063; arrangement b 0.000.

***

Arrangement a

This record from Alexandria describes a relaxed TaReAu crystal. The functional is PBE.

Structure (CIF):
```
data_TaReAu
_chemical_formula_sum 'Ta1 Re1 Au1'
_space_group_name_H-M_alt 'P 1'
_space_group_IT_number 1
_cell_length_a 7.1178
_cell_length_b 6.9615
_cell_length_c 2.8000
_cell_angle_alpha 81.68
_cell_angle_beta 75.41
_cell_angle_gamma 22.91
loop_
_space_group_symop_operation_xyz
'x,y,z'
loop_
_atom_site_label
_atom_site_fract_x
_atom_site_fract_y
_atom_site_fract_z
_atom_site_occupancy
Ta1 0.3282 0.3282 0.6718 1
Au1 0.9986 0.9986 0.0014 1
Re1 0.6732 0.6732 0.3268 1
```

***

Arrangement b

This record from Alexandria describes a relaxed TaReAu crystal. The functional is PBE.

Structure (CIF):
```
data_TaReAu
_chemical_formula_sum 'Ta1 Re1 Au1'
_space_group_name_H-M_alt 'P 1'
_space_group_IT_number 1
_cell_length_a 6.8579
_cell_length_b 6.8579
_cell_length_c 6.8579
_cell_angle_alpha 156.71
_cell_angle_beta 156.71
_cell_angle_gamma 33.17
loop_
_space_group_symop_operation_xyz
'x,y,z'
loop_
_atom_site_label
_atom_site_fract_x
_atom_site_fract_y
_atom_site_fract_z
_atom_site_occupancy
Re1 0.6669 0.6669 0.0000 1
Au1 0.0008 0.0008 0.0000 1
Ta1 0.3324 0.3324 0.0000 1
```

***

Relative energy of each structure, in eV/atom: arrangement a 0.000; arrangement b 0.093.

***

Arrangement a

This record from Alexandria describes a relaxed TaRe3Au crystal. The functional is PBE.

Structure (CIF):
```
data_TaRe3Au
_chemical_formula_sum 'Ta1 Re3 Au1'
_space_group_name_H-M_alt 'P 1'
_space_group_IT_number 1
_cell_length_a 4.7312
_cell_length_b 4.7312
_cell_length_c 4.7312
_cell_angle_alpha 90.00
_cell_angle_beta 90.00
_cell_angle_gamma 90.00
loop_
_space_group_symop_operation_xyz
'x,y,z'
loop_
_atom_site_label
_atom_site_fract_x
_atom_site_fract_y
_atom_site_fract_z
_atom_site_occupancy
Au1 0.0000 0.0000 0.0000 1
Re1 0.0000 0.0000 0.5000 1
Re2 0.5000 0.0000 0.0000 1
Re3 0.0000 0.5000 0.0000 1
Ta1 0.5000 0.5000 0.5000 1
```

***

Arrangement b

This record from Alexandria describes a relaxed TaRe3Au crystal. The functional is PBE.

Structure (CIF):
```
data_TaRe3Au
_chemical_formula_sum 'Ta1 Re3 Au1'
_space_group_name_H-M_alt 'P 1'
_space_group_IT_number 1
_cell_length_a 4.7440
_cell_length_b 4.7440
_cell_length_c 4.7440
_cell_angle_alpha 90.00
_cell_angle_beta 90.00
_cell_angle_gamma 90.00
loop_
_space_group_symop_operation_xyz
'x,y,z'
loop_
_atom_site_label
_atom_site_fract_x
_atom_site_fract_y
_atom_site_fract_z
_atom_site_occupancy
Re1 0.0000 0.5000 0.0000 1
Re2 0.5000 0.0000 0.0000 1
Re3 0.0000 0.0000 0.5000 1
Au1 0.5000 0.5000 0.5000 1
Ta1 0.0000 0.0000 0.0000 1
```

***

Relative energy of each structure, in eV/atom: arrangement a 0.465; arrangement b 0.000.

***

Arrangement a

This record from Alexandria describes a relaxed Re2TcAu crystal. The functional is PBE.

Structure (CIF):
```
data_Re2TcAu
_chemical_formula_sum 'Re2 Tc1 Au1'
_space_group_name_H-M_alt 'P 1'
_space_group_IT_number 1
_cell_length_a 3.3452
_cell_length_b 3.3452
_cell_length_c 5.7003
_cell_angle_alpha 90.00
_cell_angle_beta 90.00
_cell_angle_gamma 90.00
loop_
_space_group_symop_operation_xyz
'x,y,z'
loop_
_atom_site_label
_atom_site_fract_x
_atom_site_fract_y
_atom_site_fract_z
_atom_site_occupancy
Tc1 0.5000 0.5000 0.2500 1
Re1 0.0000 0.0000 0.0315 1
Re2 0.0000 0.0000 0.4685 1
Au1 0.5000 0.5000 0.7500 1
```

***

Arrangement b

This record from Alexandria describes a relaxed Re2TcAu crystal. The functional is PBE.

Structure (CIF):
```
data_Re2TcAu
_chemical_formula_sum 'Re2 Tc1 Au1'
_space_group_name_H-M_alt 'P 1'
_space_group_IT_number 1
_cell_length_a 4.8193
_cell_length_b 4.8193
_cell_length_c 2.8159
_cell_angle_alpha 90.00
_cell_angle_beta 90.00
_cell_angle_gamma 110.26
loop_
_space_group_symop_operation_xyz
'x,y,z'
loop_
_atom_site_label
_atom_site_fract_x
_atom_site_fract_y
_atom_site_fract_z
_atom_site_occupancy
Au1 0.0000 0.5000 0.5000 1
Tc1 0.5000 0.0000 0.5000 1
Re1 0.0000 0.0000 0.0000 1
Re2 0.5000 0.5000 0.0000 1
```

***

Relative energy of each structure, in eV/atom: arrangement a 0.155; arrangement b 0.000.

***

Arrangement a

This record from Alexandria describes a relaxed Re2TcAu crystal. The functional is PBE.

Structure (CIF):
```
data_Re2TcAu
_chemical_formula_sum 'Re2 Tc1 Au1'
_space_group_name_H-M_alt 'P 1'
_space_group_IT_number 1
_cell_length_a 9.4418
_cell_length_b 9.4418
_cell_length_c 9.4418
_cell_angle_alpha 16.92
_cell_angle_beta 16.92
_cell_angle_gamma 16.92
loop_
_space_group_symop_operation_xyz
'x,y,z'
loop_
_atom_site_label
_atom_site_fract_x
_atom_site_fract_y
_atom_site_fract_z
_atom_site_occupancy
Re1 0.9953 0.9953 0.9953 1
Re2 0.5047 0.5047 0.5047 1
Au1 0.7500 0.7500 0.7500 1
Tc1 0.2500 0.2500 0.2500 1
```

***

Arrangement b

This record from Alexandria describes a relaxed Re2TcAu crystal. The functional is PBE.

Structure (CIF):
```
data_Re2TcAu
_chemical_formula_sum 'Re2 Tc1 Au1'
_space_group_name_H-M_alt 'P 1'
_space_group_IT_number 1
_cell_length_a 4.8470
_cell_length_b 4.8470
_cell_length_c 4.8470
_cell_angle_alpha 132.23
_cell_angle_beta 132.25
_cell_angle_gamma 69.85
loop_
_space_group_symop_operation_xyz
'x,y,z'
loop_
_atom_site_label
_atom_site_fract_x
_atom_site_fract_y
_atom_site_fract_z
_atom_site_occupancy
Re1 0.0000 0.0000 0.0000 1
Re2 0.5000 0.5000 0.0000 1
Tc1 0.7500 0.2500 0.5000 1
Au1 0.2500 0.7500 0.5000 1
```

***

Arrangement c

This record from Alexandria describes a relaxed Re2TcAu crystal. The functional is PBE.

Structure (CIF):
```
data_Re2TcAu
_chemical_formula_sum 'Re2 Tc1 Au1'
_space_group_name_H-M_alt 'P 1'
_space_group_IT_number 1
_cell_length_a 4.8620
_cell_length_b 4.8620
_cell_length_c 4.8275
_cell_angle_alpha 79.61
_cell_angle_beta 79.61
_cell_angle_gamma 33.70
loop_
_space_group_symop_operation_xyz
'x,y,z'
loop_
_atom_site_label
_atom_site_fract_x
_atom_site_fract_y
_atom_site_fract_z
_atom_site_occupancy
Au1 0.7497 0.7497 0.7491 1
Re1 0.2493 0.2493 0.2502 1
Re2 0.9917 0.9917 0.0271 1
Tc1 0.5093 0.5093 0.4735 1
```

***

Arrangement d

This record from Alexandria describes a relaxed Re2TcAu crystal. The functional is PBE.

Structure (CIF):
```
data_Re2TcAu
_chemical_formula_sum 'Re2 Tc1 Au1'
_space_group_name_H-M_alt 'P 1'
_space_group_IT_number 1
_cell_length_a 2.7076
_cell_length_b 2.7076
_cell_length_c 9.5295
_cell_angle_alpha 90.00
_cell_angle_beta 90.00
_cell_angle_gamma 115.00
loop_
_space_group_symop_operation_xyz
'x,y,z'
loop_
_atom_site_label
_atom_site_fract_x
_atom_site_fract_y
_atom_site_fract_z
_atom_site_occupancy
Re1 0.0000 0.0000 0.0166 1
Re2 0.0000 0.0000 0.4834 1
Tc1 0.5000 0.5000 0.2500 1
Au1 0.5000 0.5000 0.7500 1
```

***

Relative energy of each structure, in eV/atom: arrangement a 0.000; arrangement b 0.117; arrangement c 0.055; arrangement d 0.208.

***

Arrangement a

This record from Alexandria describes a relaxed Re2TcAu crystal. The functional is PBE.

Structure (CIF):
```
data_Re2TcAu
_chemical_formula_sum 'Re2 Tc1 Au1'
_space_group_name_H-M_alt 'P 1'
_space_group_IT_number 1
_cell_length_a 3.9527
_cell_length_b 2.8023
_cell_length_c 6.2966
_cell_angle_alpha 63.57
_cell_angle_beta 90.00
_cell_angle_gamma 90.00
loop_
_space_group_symop_operation_xyz
'x,y,z'
loop_
_atom_site_label
_atom_site_fract_x
_atom_site_fract_y
_atom_site_fract_z
_atom_site_occupancy
Tc1 0.0000 0.5283 0.4721 1
Re1 0.0000 0.9693 0.0293 1
Re2 0.5000 0.2509 0.2500 1
Au1 0.5000 0.7515 0.7486 1
```

***

Arrangement b

This record from Alexandria describes a relaxed Re2TcAu crystal. The functional is PBE.

Structure (CIF):
```
data_Re2TcAu
_chemical_formula_sum 'Re2 Tc1 Au1'
_space_group_name_H-M_alt 'P 1'
_space_group_IT_number 1
_cell_length_a 2.7066
_cell_length_b 2.7066
_cell_length_c 9.5283
_cell_angle_alpha 90.00
_cell_angle_beta 90.00
_cell_angle_gamma 114.70
loop_
_space_group_symop_operation_xyz
'x,y,z'
loop_
_atom_site_label
_atom_site_fract_x
_atom_site_fract_y
_atom_site_fract_z
_atom_site_occupancy
Tc1 0.0000 0.0000 0.4843 1
Au1 0.5000 0.5000 0.7488 1
Re1 0.0000 0.0000 0.0161 1
Re2 0.5000 0.5000 0.2508 1
```

***

Relative energy of each structure, in eV/atom: arrangement a 0.000; arrangement b 0.170.

***

Arrangement a

This record from Alexandria describes a relaxed ReTc2Au crystal. The functional is PBE.

Structure (CIF):
```
data_ReTc2Au
_chemical_formula_sum 'Re1 Tc2 Au1'
_space_group_name_H-M_alt 'P 1'
_space_group_IT_number 1
_cell_length_a 4.8586
_cell_length_b 4.8586
_cell_length_c 4.8018
_cell_angle_alpha 79.51
_cell_angle_beta 79.51
_cell_angle_gamma 33.72
loop_
_space_group_symop_operation_xyz
'x,y,z'
loop_
_atom_site_label
_atom_site_fract_x
_atom_site_fract_y
_atom_site_fract_z
_atom_site_occupancy
Tc1 0.7418 0.7418 0.7763 1
Tc2 0.0004 0.0004 0.9999 1
Au1 0.5003 0.5003 0.5007 1
Re1 0.2576 0.2576 0.2231 1
```

***

Arrangement b

This record from Alexandria describes a relaxed ReTc2Au crystal. The functional is PBE.

Structure (CIF):
```
data_ReTc2Au
_chemical_formula_sum 'Re1 Tc2 Au1'
_space_group_name_H-M_alt 'P 1'
_space_group_IT_number 1
_cell_length_a 4.4446
_cell_length_b 4.4446
_cell_length_c 4.4446
_cell_angle_alpha 60.00
_cell_angle_beta 60.00
_cell_angle_gamma 60.00
loop_
_space_group_symop_operation_xyz
'x,y,z'
loop_
_atom_site_label
_atom_site_fract_x
_atom_site_fract_y
_atom_site_fract_z
_atom_site_occupancy
Tc1 0.2500 0.2500 0.2500 1
Tc2 0.7500 0.7500 0.7500 1
Re1 0.0000 0.0000 0.0000 1
Au1 0.5000 0.5000 0.5000 1
```

***

Relative energy of each structure, in eV/atom: arrangement a 0.000; arrangement b 0.212.

***

Arrangement a

This record from Alexandria describes a relaxed ReTc2Au crystal. The functional is PBE.

Structure (CIF):
```
data_ReTc2Au
_chemical_formula_sum 'Re1 Tc2 Au1'
_space_group_name_H-M_alt 'P 1'
_space_group_IT_number 1
_cell_length_a 2.7010
_cell_length_b 2.7010
_cell_length_c 9.5055
_cell_angle_alpha 90.00
_cell_angle_beta 90.00
_cell_angle_gamma 114.68
loop_
_space_group_symop_operation_xyz
'x,y,z'
loop_
_atom_site_label
_atom_site_fract_x
_atom_site_fract_y
_atom_site_fract_z
_atom_site_occupancy
Tc1 0.5000 0.5000 0.2336 1
Tc2 0.0000 0.0000 0.0007 1
Au1 0.0000 0.0000 0.4988 1
Re1 0.5000 0.5000 0.7670 1
```

***

Arrangement b

This record from Alexandria describes a relaxed ReTc2Au crystal. The functional is PBE.

Structure (CIF):
```
data_ReTc2Au
_chemical_formula_sum 'Re1 Tc2 Au1'
_space_group_name_H-M_alt 'P 1'
_space_group_IT_number 1
_cell_length_a 4.7853
_cell_length_b 4.7853
_cell_length_c 4.7853
_cell_angle_alpha 131.07
_cell_angle_beta 131.07
_cell_angle_gamma 71.71
loop_
_space_group_symop_operation_xyz
'x,y,z'
loop_
_atom_site_label
_atom_site_fract_x
_atom_site_fract_y
_atom_site_fract_z
_atom_site_occupancy
Au1 0.2500 0.7500 0.5000 1
Re1 0.7500 0.2500 0.5000 1
Tc1 0.5000 0.5000 0.0000 1
Tc2 0.0000 0.0000 0.0000 1
```

***

Arrangement c

This record from Alexandria describes a relaxed ReTc2Au crystal. The functional is PBE.

Structure (CIF):
```
data_ReTc2Au
_chemical_formula_sum 'Re2 Tc4 Au2'
_space_group_name_H-M_alt 'P 1'
_space_group_IT_number 1
_cell_length_a 7.1909
_cell_length_b 7.1909
_cell_length_c 5.7581
_cell_angle_alpha 51.36
_cell_angle_beta 51.36
_cell_angle_gamma 90.00
loop_
_space_group_symop_operation_xyz
'x,y,z'
loop_
_atom_site_label
_atom_site_fract_x
_atom_site_fract_y
_atom_site_fract_z
_atom_site_occupancy
Au1 0.7500 0.2500 0.5000 1
Au2 0.0000 0.0000 0.0000 1
Tc1 0.8750 0.8307 0.7500 1
Tc2 0.1693 0.6250 0.2500 1
Tc3 0.5807 0.1250 0.2500 1
Tc4 0.3750 0.4193 0.7500 1
Re1 0.5000 0.5000 0.0000 1
Re2 0.2500 0.7500 0.5000 1
```

***

Relative energy of each structure, in eV/atom: arrangement a 0.118; arrangement b 0.000; arrangement c 0.487.